CaRe, optimized geometry, DFT GGA-PBEsol; offset from the most stable computed form = 2296 meV per atom; ΔE_f = 2.80 eV per atom; DOS at the Fermi energy = 4.27 states/eV/cell
1.0
5.092 0.000 0.000
-2.546 4.410 0.000
0.000 0.000 5.731
Ca Re
2 2
Cartesian
0.000 2.940 1.433
2.546 1.470 4.298
0.000 2.940 4.298
2.546 1.470 1.433

KLi2Co, optimized geometry, DFT GGA-PBEsol; offset from the most stable computed form = 36 meV per atom; ΔE_f = 0.62 eV per atom; DOS at the Fermi energy = 5.94 states/eV/cell
1.0
3.284 0.000 0.000
0.000 3.284 0.000
0.000 0.000 8.248
K Li Co
1 2 1
Cartesian
0.000 0.000 0.000
0.000 0.000 4.915
1.642 1.642 3.260
1.642 1.642 5.847